Density functional theory data (GGA-PBE) for a relaxed structure of Pr3Ho4Th2.

Structure (POSCAR):
```
Pr3Ho4Th2
1.0
-4.6888 4.4047 3.1696
-4.0905 -2.6189 -6.5007
-0.7910 -12.8776 0.6267
Pr Ho Th
6 8 4
direct
0.5239 0.8190 0.9456 Pr
0.7463 0.4988 0.5032 Pr
0.8669 0.8380 0.2752 Pr
0.1331 0.1620 0.7248 Pr
0.4761 0.1810 0.0544 Pr
0.2537 0.5012 0.4968 Pr
0.9764 0.1735 0.0551 Ho
0.8030 0.1652 0.3880 Ho
0.4104 0.4973 0.1674 Ho
0.6430 0.1641 0.7223 Ho
0.5896 0.5027 0.8326 Ho
0.0236 0.8265 0.9449 Ho
0.3570 0.8359 0.2777 Ho
0.1970 0.8348 0.6120 Ho
0.6965 0.8382 0.6120 Th
0.3035 0.1618 0.3880 Th
0.0805 0.5068 0.8320 Th
0.9195 0.4932 0.1680 Th
```

Values from the calculation:
The space group is P-1, No. 2. For the calculated density, the calculation gives 8.64 g/cm³. Its energy relative to the elements is 0.04 eV per atom. Its total energy is -47.1 eV/f.u. The calculation puts the density of states at the Fermi level at 24.961 states/eV per cell.